1.
# Dy2AlSi4Rh3

A relaxed Dy2AlSi4Rh3 crystal (GGA-PBE, Alexandria via LeMat-Bulk).

**Total magnetic moment**: 0.000 μB/cell
**Formation energy without anion corrections**: -934 meV/atom

Cell: 4.061 4.061 10.256 Å, 90.00 90.00 90.00°
Fractional positions:
Rh 0.000 0.000 0.500
Rh 0.500 0.000 0.876
Rh 0.000 0.500 0.124
Si 0.000 0.000 0.000
Si 0.500 0.000 0.646
Si 0.500 0.500 0.000
Si 0.000 0.500 0.354
Dy 0.000 0.500 0.758
Dy 0.500 0.000 0.242
Al 0.500 0.500 0.500



2.
# DyAlSiRh2

A relaxed DyAlSiRh2 crystal (GGA-PBE, Alexandria via LeMat-Bulk).

**Total magnetic moment**: 0.000 μB/cell
**Formation energy without anion corrections**: -728 meV/atom

Cell: 4.237 6.493 7.067 Å, 90.00 90.00 109.04°
Fractional positions:
Si 0.000 0.000 0.500
Si 0.000 0.000 0.000
Rh 0.822 0.644 0.451
Rh 0.178 0.356 0.549
Rh 0.178 0.356 0.951
Rh 0.822 0.644 0.049
Dy 0.404 0.808 0.750
Dy 0.596 0.192 0.250
Al 0.298 0.595 0.250
Al 0.702 0.405 0.750



3.
# SmDyAlRh

A relaxed SmDyAlRh crystal (GGA-PBE, Alexandria via LeMat-Bulk).

**E**: -5.607 eV/atom
**Total magnetic moment**: 0.000 μB/cell

Cell: 5.044 5.044 5.044 Å, 60.00 60.00 60.00°
Fractional positions:
Rh 0.250 0.250 0.250
Dy 0.500 0.500 0.500
Al 0.750 0.750 0.750
Sm 0.000 0.000 0.000



4.
# Dy2Al2SnRh5

A relaxed Dy2Al2SnRh5 crystal (GGA-PBE, Alexandria via LeMat-Bulk).

**E**: -6.634 eV/atom
**Total magnetic moment**: 0.000 μB/cell

Cell: 3.533 9.895 9.895 Å, 90.00 90.00 90.00°
Fractional positions:
Dy 0.000 0.325 0.825
Dy 0.000 0.825 0.675
Dy 0.000 0.675 0.175
Dy 0.000 0.175 0.325
Rh 0.500 0.000 0.500
Rh 0.500 0.291 0.569
Rh 0.500 0.500 0.000
Rh 0.500 0.791 0.931
Rh 0.500 0.209 0.069
Rh 0.500 0.709 0.431
Rh 0.500 0.431 0.291
Rh 0.500 0.569 0.709
Rh 0.500 0.069 0.791
Rh 0.500 0.931 0.209
Sn 0.000 0.000 0.000
Sn 0.000 0.500 0.500
Al 0.000 0.621 0.879
Al 0.000 0.879 0.379
Al 0.000 0.379 0.121
Al 0.000 0.121 0.621



5.
# Dy2TaAl2Rh5

A relaxed Dy2TaAl2Rh5 crystal (GGA-PBE, Alexandria via LeMat-Bulk).

**E**: -7.357 eV/atom
**Total magnetic moment**: 0.000 μB/cell

Cell: 3.481 9.906 9.906 Å, 90.00 90.00 90.00°
Fractional positions:
Rh 0.500 0.566 0.703
Rh 0.500 0.203 0.066
Rh 0.500 0.797 0.934
Rh 0.500 0.000 0.500
Rh 0.500 0.066 0.797
Rh 0.500 0.297 0.566
Rh 0.500 0.434 0.297
Rh 0.500 0.934 0.203
Rh 0.500 0.500 0.000
Rh 0.500 0.703 0.434
Dy 0.000 0.826 0.674
Dy 0.000 0.326 0.826
Dy 0.000 0.674 0.174
Dy 0.000 0.174 0.326
Al 0.000 0.624 0.876
Al 0.000 0.876 0.376
Al 0.000 0.376 0.124
Al 0.000 0.124 0.624
Ta 0.000 0.000 0.000
Ta 0.000 0.500 0.500



6.
# Dy2Ti2AlRh5

A relaxed Dy2Ti2AlRh5 crystal (GGA-PBE, Alexandria via LeMat-Bulk).

**E**: -7.238 eV/atom
**Total magnetic moment**: 0.000 μB/cell

Cell: 3.132 10.474 10.474 Å, 90.00 90.00 90.00°
Fractional positions:
Rh 0.500 0.695 0.449
Rh 0.500 0.051 0.805
Rh 0.500 0.195 0.051
Rh 0.500 0.500 0.000
Rh 0.500 0.949 0.195
Rh 0.500 0.805 0.949
Rh 0.500 0.305 0.551
Rh 0.500 0.000 0.500
Rh 0.500 0.449 0.305
Rh 0.500 0.551 0.695
Ti 0.000 0.134 0.634
Ti 0.000 0.366 0.134
Ti 0.000 0.634 0.866
Ti 0.000 0.866 0.366
Dy 0.000 0.673 0.173
Dy 0.000 0.827 0.673
Dy 0.000 0.173 0.327
Dy 0.000 0.327 0.827
Al 0.000 0.500 0.500
Al 0.000 0.000 0.000



7.
# Dy2TiAl2Rh5

A relaxed Dy2TiAl2Rh5 crystal (GGA-PBE, Alexandria via LeMat-Bulk).

**E**: -7.007 eV/atom
**Total magnetic moment**: 0.000 μB/cell

Cell: 3.387 9.974 9.974 Å, 90.00 90.00 90.00°
Fractional positions:
Rh 0.500 0.065 0.798
Rh 0.500 0.000 0.500
Rh 0.500 0.202 0.065
Rh 0.500 0.702 0.435
Rh 0.500 0.798 0.935
Rh 0.500 0.935 0.202
Rh 0.500 0.435 0.298
Rh 0.500 0.298 0.565
Rh 0.500 0.500 0.000
Rh 0.500 0.565 0.702
Dy 0.000 0.173 0.327
Dy 0.000 0.673 0.173
Dy 0.000 0.327 0.827
Dy 0.000 0.827 0.673
Al 0.000 0.374 0.126
Al 0.000 0.126 0.626
Al 0.000 0.874 0.374
Al 0.000 0.626 0.874
Ti 0.000 0.500 0.500
Ti 0.000 0.000 0.000



8.
# DyYAlRh

A relaxed DyYAlRh crystal (GGA-PBE, Alexandria via LeMat-Bulk).

**E**: -6.101 eV/atom
**Total magnetic moment**: 0.000 μB/cell

Cell: 4.998 4.998 4.998 Å, 60.00 60.00 60.00°
Fractional positions:
Al 0.500 0.500 0.500
Y 0.750 0.750 0.750
Rh 0.000 0.000 0.000
Dy 0.250 0.250 0.250